Entry 1:
First-principles (PBE) data for crystalline Li2LaZr at its relaxed geometry, as listed in Alexandria.

Its energy of formation from the pure elements is 0.2804 eV per atom. As for the energy above the lowest structure with this stoichiometry: 0.127 eV per atom.

abc: 5.649 6.304 3.183
angles: 77.64 85.09 115.24
Positions (direct):
La  0.500  0.500  0.000
Li  0.000  0.000  0.000
Li  0.500  0.000  0.500
Zr  0.000  0.500  0.500

---

Entry 2:
First-principles (PBE) data for crystalline Ac2PrMg2Sn2 at its relaxed geometry, as listed in Alexandria.

Its energy of formation from the pure elements is -0.3362 eV per atom.

abc: 5.111 5.111 10.248
angles: 75.56 75.56 60.00
Positions (direct):
Ac  0.125  0.125  0.624
Ac  0.875  0.875  0.376
Pr  0.000  0.000  0.000
Mg  0.609  0.609  0.172
Mg  0.391  0.391  0.828
Sn  0.730  0.730  0.810
Sn  0.270  0.270  0.190

---

Entry 3:
First-principles (PBE) data for crystalline SrScCl2 at its relaxed geometry, as listed in Alexandria.

As for the energy above the lowest structure with this stoichiometry: 0.011 eV per atom.

abc: 10.024 10.024 10.024
angles: 22.48 22.48 22.48
Positions (direct):
Sc  0.514  0.514  0.514
Sr  0.742  0.742  0.742
Cl  0.016  0.016  0.016
Cl  0.228  0.228  0.228

---

Entry 4:
First-principles (PBE) data for crystalline CaAlZnAu at its relaxed geometry, as listed in Alexandria.

Its energy of formation from the pure elements is -0.3795 eV per atom.

abc: 4.786 4.786 4.786
angles: 60.00 60.00 60.00
Positions (direct):
Zn  0.000  0.000  0.000
Au  0.500  0.500  0.500
Ca  0.250  0.250  0.250
Al  0.750  0.750  0.750

---

Entry 5:
First-principles (PBE) data for crystalline Dy2Er8Tl at its relaxed geometry, as listed in Alexandria.

Its energy of formation from the pure elements is -0.0281 eV per atom. As for the energy above the lowest structure with this stoichiometry: 0.002 eV per atom.

abc: 5.500 6.360 10.004
angles: 84.86 105.95 90.00
Positions (direct):
Dy  0.756  0.334  0.512
Dy  0.244  0.666  0.488
Er  0.421  0.598  0.843
Er  0.662  0.877  0.323
Er  0.846  0.803  0.692
Er  0.955  0.269  0.910
Er  0.154  0.197  0.308
Er  0.338  0.123  0.677
Er  0.579  0.402  0.157
Er  0.045  0.731  0.090
Tl  0.500  0.000  0.000

---

Entry 6:
First-principles (PBE) data for crystalline TbDyBi2 at its relaxed geometry, as listed in Alexandria.

Its energy of formation from the pure elements is -0.8706 eV per atom. As for the energy above the lowest structure with this stoichiometry: 0.000 eV per atom.

abc: 4.481 6.334 8.962
angles: 90.00 90.00 90.00
Positions (direct):
Tb  0.500  0.000  0.625
Tb  0.000  0.500  0.375
Dy  0.000  0.500  0.875
Dy  0.500  0.000  0.125
Bi  0.000  0.000  0.876
Bi  0.000  0.000  0.374
Bi  0.500  0.500  0.626
Bi  0.500  0.500  0.124

---

Entry 7:
First-principles (PBE) data for crystalline Li4ZnSn3 at its relaxed geometry, as listed in Alexandria.

Its energy of formation from the pure elements is -0.2714 eV per atom.

abc: 3.317 3.317 13.817
angles: 90.00 90.00 90.00
Positions (direct):
Zn  0.500  0.500  0.000
Sn  0.500  0.500  0.231
Sn  0.500  0.500  0.500
Sn  0.500  0.500  0.769
Li  0.000  0.000  0.895
Li  0.000  0.000  0.105
Li  0.000  0.000  0.364
Li  0.000  0.000  0.636

---

Entry 8:
First-principles (PBE) data for crystalline Tb5Ga2Os at its relaxed geometry, as listed in Alexandria.

Its energy of formation from the pure elements is -0.4076 eV per atom.

abc: 4.604 7.444 11.934
angles: 90.00 90.00 90.00
Positions (direct):
Tb  0.000  0.000  0.500
Tb  0.000  0.500  0.000
Tb  0.000  0.853  0.209
Tb  0.000  0.147  0.791
Tb  0.000  0.647  0.709
Tb  0.000  0.353  0.291
Tb  0.500  0.684  0.422
Tb  0.500  0.316  0.578
Tb  0.500  0.816  0.922
Tb  0.500  0.184  0.078
Ga  0.500  0.573  0.166
Ga  0.500  0.427  0.834
Ga  0.500  0.927  0.666
Ga  0.500  0.073  0.334
Os  0.000  0.500  0.500
Os  0.000  0.000  0.000

---

Entry 9:
First-principles (PBE) data for crystalline CrBTeAuI at its relaxed geometry, as listed in Alexandria.

As for the energy above the lowest structure with this stoichiometry: 0.237 eV per atom.

abc: 5.498 3.997 11.819
angles: 90.00 94.87 90.00
Positions (direct):
I  0.819  0.000  0.984
I  0.819  0.500  0.484
Cr  0.640  0.000  0.331
Cr  0.640  0.500  0.831
B  0.764  0.000  0.175
B  0.764  0.500  0.675
Te  0.459  0.000  0.695
Te  0.459  0.500  0.195
Au  0.116  0.000  0.262
Au  0.116  0.500  0.762

---

Entry 10:
First-principles (PBE) data for crystalline PmTm2Tl2 at its relaxed geometry, as listed in Alexandria.

Its energy of formation from the pure elements is -0.2649 eV per atom. As for the energy above the lowest structure with this stoichiometry: 0.007 eV per atom.

abc: 3.771 5.423 14.063
angles: 90.00 97.72 90.00
Positions (direct):
Pm  0.853  0.750  0.703
Pm  0.147  0.250  0.297
Tm  0.050  0.750  0.100
Tm  0.950  0.250  0.900
Tm  0.237  0.750  0.475
Tm  0.763  0.250  0.525
Tl  0.644  0.750  0.290
Tl  0.356  0.250  0.710
Tl  0.453  0.750  0.908
Tl  0.547  0.250  0.092

---

Entry 11:
First-principles (PBE) data for crystalline Na3ScB2O6 at its relaxed geometry, as listed in Alexandria.

As for the energy above the lowest structure with this stoichiometry: 0.000 eV per atom.

abc: 9.067 5.134 7.165
angles: 56.16 90.00 90.00
Positions (direct):
Na  0.500  0.000  0.000
Na  0.000  0.000  0.500
Na  0.832  0.260  0.743
Na  0.332  0.740  0.757
Na  0.168  0.740  0.257
Na  0.668  0.260  0.243
Sc  0.500  0.500  0.500
Sc  0.000  0.500  0.000
B  0.669  0.774  0.738
B  0.169  0.226  0.762
B  0.331  0.226  0.262
B  0.831  0.774  0.238
O  0.584  0.528  0.769
O  0.084  0.472  0.731
O  0.416  0.472  0.231
O  0.916  0.528  0.269
O  0.607  0.065  0.657
O  0.107  0.935  0.843
O  0.393  0.935  0.343
O  0.893  0.065  0.157
O  0.818  0.732  0.790
O  0.318  0.268  0.710
O  0.182  0.268  0.210
O  0.682  0.732  0.290

---

Entry 12:
First-principles (PBE) data for crystalline YBeMo2 at its relaxed geometry, as listed in Alexandria.

Its energy of formation from the pure elements is 0.2126 eV per atom.

abc: 3.272 3.273 6.570
angles: 90.00 90.00 90.00
Positions (direct):
Y  0.500  0.500  0.250
Be  0.500  0.500  0.750
Mo  0.000  0.000  0.921
Mo  0.000  0.000  0.579

---

Entry 13:
First-principles (PBE) data for crystalline ZrTeMo2 at its relaxed geometry, as listed in Alexandria.

abc: 4.055 4.055 10.427
angles: 78.79 78.79 90.00
Positions (direct):
Mo  0.679  0.125  0.250
Mo  0.071  0.625  0.250
Mo  0.375  0.321  0.750
Mo  0.875  0.929  0.750
Te  0.000  0.000  0.000
Te  0.750  0.250  0.500
Zr  0.500  0.500  0.000
Zr  0.250  0.750  0.500

---

Entry 14:
First-principles (PBE) data for crystalline La3Tb3Nd4 at its relaxed geometry, as listed in Alexandria.

Its energy of formation from the pure elements is 0.0861 eV per atom.

abc: 3.850 9.623 9.623
angles: 89.69 90.00 90.00
Positions (direct):
La  0.000  0.506  0.003
La  0.000  0.997  0.494
La  0.500  0.170  0.830
Tb  0.500  0.829  0.171
Tb  0.500  0.332  0.330
Tb  0.500  0.670  0.668
Nd  0.000  0.628  0.372
Nd  0.000  0.375  0.625
Nd  0.000  0.868  0.874
Nd  0.000  0.126  0.132

---

Entry 15:
First-principles (PBE) data for crystalline RbTiClF3 at its relaxed geometry, as listed in Alexandria.

abc: 5.875 6.905 9.130
angles: 67.78 75.70 49.21
Positions (direct):
Rb  0.250  0.340  0.319
Rb  0.750  0.660  0.681
Ti  0.750  0.048  0.904
Ti  0.250  0.952  0.096
Cl  0.250  0.586  0.828
Cl  0.750  0.414  0.172
F  0.527  0.913  0.899
F  0.973  0.188  0.899
F  0.750  0.157  0.685
F  0.473  0.087  0.101
F  0.027  0.812  0.101
F  0.250  0.843  0.315

---

Entry 16:
First-principles (PBE) data for crystalline PmPaHgOs at its relaxed geometry, as listed in Alexandria.

Its energy of formation from the pure elements is 0.0134 eV per atom.

abc: 5.092 5.092 5.092
angles: 60.00 60.00 60.00
Positions (direct):
Pa  0.000  0.000  0.000
Os  0.250  0.250  0.250
Hg  0.750  0.750  0.750
Pm  0.500  0.500  0.500

---

Entry 17:
First-principles (PBE) data for crystalline LiTa2In at its relaxed geometry, as listed in Alexandria.

Its energy of formation from the pure elements is 0.1957 eV per atom.

abc: 5.614 5.614 4.376
angles: 67.15 67.15 34.79
Positions (direct):
In  0.750  0.750  0.750
Li  0.250  0.250  0.250
Ta  0.997  0.997  0.003
Ta  0.503  0.503  0.497

---

Entry 18:
First-principles (PBE) data for crystalline LiPrIn at its relaxed geometry, as listed in Alexandria.

Its energy of formation from the pure elements is -0.2131 eV per atom.

abc: 3.618 3.618 6.429
angles: 106.34 106.34 90.00
Positions (direct):
Pr  0.614  0.614  0.227
In  0.925  0.925  0.850
Li  0.311  0.311  0.623

---

Entry 19:
First-principles (PBE) data for crystalline PrNd2Ga3 at its relaxed geometry, as listed in Alexandria.

Its energy of formation from the pure elements is -0.5511 eV per atom.

abc: 5.241 8.293 7.414
angles: 90.00 90.00 71.58
Positions (direct):
Pr  0.333  0.333  0.000
Pr  0.667  0.667  0.000
Nd  0.000  0.000  0.000
Nd  0.000  0.000  0.500
Nd  0.333  0.335  0.500
Nd  0.667  0.665  0.500
Ga  0.834  0.332  0.748
Ga  0.500  0.000  0.253
Ga  0.166  0.668  0.252
Ga  0.834  0.332  0.252
Ga  0.166  0.668  0.748
Ga  0.500  0.000  0.747

---

Entry 20:
First-principles (PBE) data for crystalline BaLiO at its relaxed geometry, as listed in Alexandria.

As for the energy above the lowest structure with this stoichiometry: 0.287 eV per atom.

abc: 3.575 8.959 6.198
angles: 90.00 90.00 90.00
Positions (direct):
Ba  0.500  0.250  0.750
Ba  0.000  0.750  0.250
Ba  0.500  0.750  0.750
Ba  0.000  0.250  0.250
O  0.000  0.500  0.586
O  0.000  0.000  0.914
O  0.500  0.000  0.414
O  0.500  0.500  0.086
Li  0.000  0.000  0.581
Li  0.000  0.500  0.919
Li  0.500  0.000  0.081
Li  0.500  0.500  0.419

---

Entry 21:
First-principles (PBE) data for crystalline CaAc4Te5 at its relaxed geometry, as listed in Alexandria.

As for the energy above the lowest structure with this stoichiometry: 0.008 eV per atom.

abc: 6.654 8.126 8.126
angles: 80.35 65.83 65.83
Positions (direct):
Ca  0.002  0.000  0.000
Ac  0.406  0.400  0.789
Ac  0.806  0.789  0.600
Ac  0.196  0.211  0.400
Ac  0.595  0.600  0.211
Te  0.901  0.385  0.813
Te  0.287  0.813  0.615
Te  0.715  0.187  0.385
Te  0.100  0.615  0.187
Te  0.501  0.000  0.000

---

Entry 22:
First-principles (PBE) data for crystalline Ga2ReSnMo at its relaxed geometry, as listed in Alexandria.

Its energy of formation from the pure elements is 2.1573 eV per atom.

abc: 4.952 5.166 4.952
angles: 90.00 90.00 90.00
Positions (direct):
Re  0.500  0.500  0.500
Mo  0.000  0.500  0.000
Sn  0.000  0.000  0.000
Ga  0.000  0.000  0.500
Ga  0.500  0.000  0.000

---

Entry 23:
First-principles (PBE) data for crystalline Sr2GaNiAg at its relaxed geometry, as listed in Alexandria.

Its energy of formation from the pure elements is -0.1611 eV per atom.

abc: 5.692 5.692 4.546
angles: 90.00 90.00 90.00
Positions (direct):
Sr  0.000  0.500  0.000
Sr  0.500  0.000  0.000
Ga  0.000  0.000  0.500
Ag  0.500  0.500  0.500
Ni  0.000  0.000  0.000

---

How do the records compare in final energy? In the order shown, they have -4.05, -3.79, -4.29, -2.95, -4.40, -5.12, -2.89, -5.46, -4.44, -3.95, -6.92, -7.75, -7.88, -4.69, -5.39, -6.43, -6.89, -3.36, -4.45, -4.25, -4.92, -4.51, -3.17 eV per atom.